1.
Crystalline Os2RhCl at its relaxed geometry. Source: Alexandria via LeMat-Bulk, functional PBE-GGA.

Structure (CIF):
```
data_Os2RhCl
_symmetry_space_group_name_H-M 'R 3 m'
_symmetry_Int_Tables_number 160
_symmetry_space_group_name_Hall 'R 3 -2"'
_cell_length_a 2.8249
_cell_length_b 2.8249
_cell_length_c 25.5590
_cell_angle_alpha 90.00
_cell_angle_beta 90.00
_cell_angle_gamma 120.00
loop_
_atom_site_label
_atom_site_type_symbol
_atom_site_fract_x
_atom_site_fract_y
_atom_site_fract_z
Os1 Os 0.0000 0.0000 0.0000
Os2 Os 0.0000 0.0000 0.2521
Rh1 Rh 0.0000 0.0000 0.7512
Cl1 Cl 0.0000 0.0000 0.5017
```

- raw total energy (eV/atom) = -7.48
- magnetization (Bohr magnetons per cell) = 0.0
- uncorrected formation energy (eV/atom) = 0.4351
- mass density (g/cm³) = 14.63


2.
Crystalline NbINF2 at its relaxed geometry. Source: Alexandria via LeMat-Bulk, functional PBE-GGA.

Structure (CIF):
```
data_NbINF2
_symmetry_space_group_name_H-M 'P 4/m m m'
_symmetry_Int_Tables_number 123
_symmetry_space_group_name_Hall '-P 4 2'
_cell_length_a 4.262
_cell_length_b 4.262
_cell_length_c 4.203
_cell_angle_alpha 90.00
_cell_angle_beta 90.00
_cell_angle_gamma 90.00
loop_
_atom_site_label
_atom_site_type_symbol
_atom_site_fract_x
_atom_site_fract_y
_atom_site_fract_z
Nb1 Nb 0.000 0.000 0.000
I1 I 0.500 0.500 0.500
N1 N 0.000 0.000 0.500
F1 F 0.000 0.500 0.000
```

- raw total energy (eV/atom) = -5.68
- magnetization (Bohr magnetons per cell) = 0.5
- uncorrected formation energy (eV/atom) = -0.9405
- mass density (g/cm³) = 5.91


3.
Crystalline YCoPt2 at its relaxed geometry. Source: Alexandria via LeMat-Bulk, functional PBE-GGA.

Structure (CIF):
```
data_YCoPt2
_symmetry_space_group_name_H-M 'P m m 2'
_symmetry_Int_Tables_number 25
_symmetry_space_group_name_Hall 'P 2 -2'
_cell_length_a 3.060
_cell_length_b 3.841
_cell_length_c 5.928
_cell_angle_alpha 90.00
_cell_angle_beta 90.00
_cell_angle_gamma 90.00
loop_
_atom_site_label
_atom_site_type_symbol
_atom_site_fract_x
_atom_site_fract_y
_atom_site_fract_z
Y1 Y 0.000 0.000 0.000
Co1 Co 0.500 0.500 0.309
Pt1 Pt 0.000 0.000 0.470
Pt2 Pt 0.500 0.500 0.745
```

- raw total energy (eV/atom) = -6.82
- magnetization (Bohr magnetons per cell) = 1.9
- formation energy from the elements (kcal/mol of atoms) = -9.41
- mass density (g/cm³) = 12.82


4.
Crystalline ZnTe2 at its relaxed geometry. Source: Alexandria via LeMat-Bulk, functional PBE-GGA.

Structure (CIF):
```
data_ZnTe2
_symmetry_space_group_name_H-M 'C 1 m 1'
_symmetry_Int_Tables_number 8
_symmetry_space_group_name_Hall 'C -2y'
_cell_length_a 14.103
_cell_length_b 4.278
_cell_length_c 7.897
_cell_angle_alpha 90.00
_cell_angle_beta 103.64
_cell_angle_gamma 90.00
loop_
_atom_site_label
_atom_site_type_symbol
_atom_site_fract_x
_atom_site_fract_y
_atom_site_fract_z
Zn1 Zn 0.000 0.000 0.000
Zn2 Zn 0.048 0.500 0.742
Te1 Te 0.176 0.000 0.904
Te2 Te 0.307 0.000 0.234
Te3 Te 0.430 0.500 0.653
Te4 Te 0.498 0.000 0.199
```

- raw total energy (eV/atom) = -2.59
- magnetization (Bohr magnetons per cell) = 0.0
- uncorrected formation energy (eV/atom) = -0.0683
- mass density (g/cm³) = 4.60


5.
Crystalline BaHoF5 at its relaxed geometry. Source: Alexandria via LeMat-Bulk, functional PBE-GGA.

Structure (CIF):
```
data_BaHoF5
_symmetry_space_group_name_H-M 'C 1 2/c 1'
_symmetry_Int_Tables_number 15
_symmetry_space_group_name_Hall '-C 2yc'
_cell_length_a 4.453
_cell_length_b 16.331
_cell_length_c 5.942
_cell_angle_alpha 90.00
_cell_angle_beta 92.78
_cell_angle_gamma 90.00
loop_
_atom_site_label
_atom_site_type_symbol
_atom_site_fract_x
_atom_site_fract_y
_atom_site_fract_z
Ba1 Ba 0.000 0.172 0.250
Ho1 Ho 0.000 0.427 0.250
F1 F 0.000 0.115 0.750
F2 F 0.012 0.317 0.014
F3 F 0.223 0.465 0.593
```

- raw total energy (eV/atom) = -6.33
- magnetization (Bohr magnetons per cell) = 0.0
- uncorrected formation energy (eV/atom) = -4.0646
- mass density (g/cm³) = 6.11


6.
Crystalline MgCuP at its relaxed geometry. Source: Alexandria via LeMat-Bulk, functional PBE-GGA.

Structure (CIF):
```
data_MgCuP
_symmetry_space_group_name_H-M 'P n m a'
_symmetry_Int_Tables_number 62
_symmetry_space_group_name_Hall '-P 2ac 2n'
_cell_length_a 6.522
_cell_length_b 3.848
_cell_length_c 7.132
_cell_angle_alpha 90.00
_cell_angle_beta 90.00
_cell_angle_gamma 90.00
loop_
_atom_site_label
_atom_site_type_symbol
_atom_site_fract_x
_atom_site_fract_y
_atom_site_fract_z
Mg1 Mg 0.031 0.250 0.179
Cu1 Cu 0.127 0.250 0.562
P1 P 0.246 0.750 0.378
```

- raw total energy (eV/atom) = -4.10
- magnetization (Bohr magnetons per cell) = 0.0
- formation energy from the elements (kcal/mol of atoms) = -9.29
- mass density (g/cm³) = 4.41